Entry 1:
DFT (GGA-PBE) results for crystalline Te4Au2S at its relaxed geometry.

Results
As for the crystal system: monoclinic. As for the uncorrected formation energy: 0.034 eV/atom. The value obtained for the mass density is 7.58 g/cm3. As for the uncorrected energy: -3.29 eV per atom.

a b c (Å): 9.3547 12.7991 7.8285
angles (deg): 90.00 118.84 90.00
Space group C2/c (No. 15)
Inequivalent atoms, fractional coordinates:
Te  0.0566  0.2344  0.0273 (multiplicity 8)
Te  0.2197  0.4565  0.3815 (multiplicity 8)
Au  0.0000  0.5000  0.0000 (multiplicity 4)
Au  0.2500  0.2500  0.5000 (multiplicity 4)
S  0.0000  0.1180  0.7500 (multiplicity 4)

=====

Entry 2:
DFT (GGA-PBE) results for crystalline SrMnTl2 at its relaxed geometry.

Results
As for the crystal system: tetragonal. The value obtained for the mass density is 7.89 g/cm3. As for the uncorrected energy: -3.69 eV per atom.

a b c (Å): 3.9717 3.9717 7.3554
angles (deg): 90.00 90.00 90.00
Space group P4mm (No. 99)
Inequivalent atoms, fractional coordinates:
Sr  0.0000  0.0000  0.0000 (multiplicity 1)
Mn  0.5000  0.5000  0.6926 (multiplicity 1)
Tl  0.0000  0.0000  0.5439 (multiplicity 1)
Tl  0.5000  0.5000  0.2889 (multiplicity 1)

=====

Entry 3:
DFT (GGA-PBE) results for crystalline Ce2ScTl at its relaxed geometry.

Results
As for the energy above the most stable polymorph in this dataset: 32.0 meV per atom. As for the crystal system: tetragonal. The value obtained for the mass density is 8.59 g/cm3. As for the uncorrected energy: -5.30 eV per atom.

a b c (Å): 4.4362 4.4362 5.1992
angles (deg): 90.00 90.00 90.00
Space group P4/mmm (No. 123)
Inequivalent atoms, fractional coordinates:
Ce  0.0000  0.5000  0.0000 (multiplicity 2)
Sc  0.0000  0.0000  0.5000 (multiplicity 1)
Tl  0.5000  0.5000  0.5000 (multiplicity 1)

=====

Entry 4:
DFT (GGA-PBE) results for crystalline Tm5ZnIn2Rh2 at its relaxed geometry.

Results
As for the crystal system: tetragonal. The value obtained for the mass density is 9.44 g/cm3. As for the uncorrected energy: -4.96 eV per atom.

a b c (Å): 11.4781 11.4781 3.5914
angles (deg): 90.00 90.00 90.00
Space group P4/mbm (No. 127)
Inequivalent atoms, fractional coordinates:
Tm  0.0000  0.5000  0.0000 (multiplicity 2)
Tm  0.0733  0.1998  0.0000 (multiplicity 8)
Zn  0.0000  0.0000  0.5000 (multiplicity 2)
In  0.1751  0.6751  0.5000 (multiplicity 4)
Rh  0.1328  0.3672  0.5000 (multiplicity 4)

=====

Entry 5:
DFT (GGA-PBE) results for crystalline PmThHg at its relaxed geometry.

Results
As for the energy above the most stable polymorph in this dataset: 183.1 meV per atom. As for the crystal system: trigonal. The value obtained for the mass density is 10.86 g/cm3. As for the uncorrected energy: -4.17 eV per atom.

a b c (Å): 5.2936 5.2936 3.6381
angles (deg): 90.00 90.00 120.00
Space group P3m1 (No. 156)
Inequivalent atoms, fractional coordinates:
Pm  0.0000  0.0000  0.0000 (multiplicity 1)
Th  0.3333  0.6667  0.5765 (multiplicity 1)
Hg  0.6667  0.3333  0.2791 (multiplicity 1)

=====

Entry 6:
DFT (GGA-PBE) results for crystalline CeDy2Ir9 at its relaxed geometry.

Results
As for the crystal system: trigonal. The value obtained for the mass density is 16.93 g/cm3. As for the uncorrected energy: -8.52 eV per atom.

a b c (Å): 5.3195 5.3195 26.3578
angles (deg): 90.00 90.00 120.00
Space group R-3m (No. 166, hexagonal axes)
Inequivalent atoms, fractional coordinates:
Ce  0.0000  0.0000  0.0000 (multiplicity 3)
Dy  0.0000  0.0000  0.1398 (multiplicity 6)
Ir  0.0000  0.0000  0.3330 (multiplicity 6)
Ir  0.0000  0.0000  0.5000 (multiplicity 3)
Ir  0.0003  0.5001  0.0825 (multiplicity 18)

=====

Entry 7:
DFT (GGA-PBE) results for crystalline Tc2PRu at its relaxed geometry.

Results
As for the crystal system: orthorhombic. The value obtained for the mass density is 9.72 g/cm3. As for the uncorrected energy: -8.82 eV per atom.

a b c (Å): 2.8402 3.8175 5.1696
angles (deg): 90.00 90.00 90.00
Space group Pmm2 (No. 25)
Inequivalent atoms, fractional coordinates:
Tc  0.0000  0.0000  0.0000 (multiplicity 1)
Tc  0.5000  0.5000  0.2028 (multiplicity 1)
P  0.0000  0.0000  0.4943 (multiplicity 1)
Ru  0.5000  0.5000  0.6809 (multiplicity 1)

=====

Entry 8:
DFT (GGA-PBE) results for crystalline NpMoOs2 at its relaxed geometry.

Results
As for the energy above the most stable polymorph in this dataset: 0.0 meV per atom. As for the crystal system: tetragonal. The value obtained for the mass density is 18.06 g/cm3. As for the uncorrected energy: -11.39 eV per atom.

a b c (Å): 4.0790 4.0790 3.9423
angles (deg): 90.00 90.00 90.00
Space group P4/mmm (No. 123)
Inequivalent atoms, fractional coordinates:
Np  0.0000  0.0000  0.0000 (multiplicity 1)
Mo  0.5000  0.5000  0.0000 (multiplicity 1)
Os  0.0000  0.5000  0.5000 (multiplicity 2)